12
Lattice="7.1871 0.0000 0.0000 0.0000 7.1871 0.0000 0.0000 0.0000 7.1871" Properties=species:S:1:pos:R:3 comment="PmGeSb | the Open Quantum Materials Database | PBE | relaxed" final_energy_ev_per_atom=-4.7100 volume_a3_per_fu=92.8 pbc="T T T"
Pm 0.0000 0.0000 0.0000
Pm 0.0000 3.5935 3.5935
Pm 3.5935 0.0000 3.5935
Pm 3.5935 3.5935 0.0000
Ge 0.0000 0.0000 3.5935
Ge 0.0000 3.5935 0.0000
Ge 3.5935 0.0000 0.0000
Ge 3.5935 3.5935 3.5935
Sb 1.7968 1.7968 5.3903
Sb 1.7968 5.3903 1.7968
Sb 5.3903 1.7968 1.7968
Sb 5.3903 5.3903 5.3903